Record 1
CaMn2W after structural relaxation, computed with GGA-PBE.

a = 9.029 Å, b = 9.029 Å, c = 9.029 Å
α = 19.67°, β = 19.67°, γ = 19.67°
Sites, in units of the cell vectors:
Ca (0.000, 0.000, 0.000)
Mn (0.236, 0.236, 0.236)
Mn (0.764, 0.764, 0.764)
W (0.500, 0.500, 0.500)

Computed properties:
Crystal system ... trigonal
Energy of formation from the pure elements ... 0.7154 eV/atom
Relative energy among the computed polymorphs ... 1.305 eV/f.u.

Record 2
CaRu2Se after structural relaxation, computed with GGA-PBE.

a = 4.616 Å, b = 4.616 Å, c = 4.616 Å
α = 60.00°, β = 60.00°, γ = 60.00°
Sites, in units of the cell vectors:
Ca (0.000, 0.000, 0.000)
Ru (0.250, 0.250, 0.250)
Ru (0.500, 0.500, 0.500)
Se (0.750, 0.750, 0.750)

Computed properties:
Crystal system ... cubic
Formation energy (no corrections) ... 0.3236 eV per atom

Record 3
PuTlPdSe2 after structural relaxation, computed with GGA-PBE.

a = 8.023 Å, b = 4.747 Å, c = 7.847 Å
α = 90.00°, β = 100.25°, γ = 90.00°
Sites, in units of the cell vectors:
Pu (0.000, 0.006, 0.250)
Pu (0.000, 0.994, 0.750)
Tl (0.500, 0.330, 0.750)
Tl (0.500, 0.670, 0.250)
Pd (0.000, 0.500, 0.000)
Pd (0.000, 0.500, 0.500)
Se (0.249, 0.185, 0.042)
Se (0.249, 0.815, 0.542)
Se (0.751, 0.185, 0.458)
Se (0.751, 0.815, 0.958)

Computed properties:
Crystal system ... monoclinic
Formation energy (no corrections) ... -0.7203 eV per atom

Record 4
Mg2Zn2Au after structural relaxation, computed with GGA-PBE.

a = 8.157 Å, b = 8.157 Å, c = 8.157 Å
α = 155.14°, β = 155.14°, γ = 35.45°
Sites, in units of the cell vectors:
Mg (0.096, 0.096, 0.000)
Mg (0.904, 0.904, 0.000)
Zn (0.250, 0.750, 0.500)
Zn (0.750, 0.250, 0.500)
Au (0.500, 0.500, 0.000)

Computed properties:
Crystal system ... tetragonal
Energy of formation from the pure elements ... -0.1630 eV/atom
Relative energy among the computed polymorphs ... 0.266 eV/f.u.

Record 5
PrURu2 after structural relaxation, computed with GGA-PBE.

a = 3.364 Å, b = 3.364 Å, c = 7.366 Å
α = 90.00°, β = 90.00°, γ = 90.00°
Sites, in units of the cell vectors:
Pr (0.000, 0.000, 0.000)
U (0.000, 0.000, 0.500)
Ru (0.500, 0.500, 0.305)
Ru (0.500, 0.500, 0.695)

Computed properties:
Crystal system ... tetragonal
Energy of formation from the pure elements ... -0.2344 eV/atom

Record 6
ZnPdF6 after structural relaxation, computed with GGA-PBE.

a = 5.461 Å, b = 5.461 Å, c = 5.461 Å
α = 55.60°, β = 55.60°, γ = 55.60°
Sites, in units of the cell vectors:
Zn (0.000, 0.000, 0.000)
Pd (0.500, 0.500, 0.500)
F (0.115, 0.741, 0.398)
F (0.259, 0.602, 0.885)
F (0.398, 0.115, 0.741)
F (0.602, 0.885, 0.259)
F (0.741, 0.398, 0.115)
F (0.885, 0.259, 0.602)

Computed properties:
Crystal system ... trigonal
Formation energy (no corrections) ... -1.6552 eV per atom

Record 7
PrHo2GeN4 after structural relaxation, computed with GGA-PBE.

a = 6.011 Å, b = 6.011 Å, c = 11.579 Å
α = 90.00°, β = 90.00°, γ = 145.75°
Sites, in units of the cell vectors:
Pr (0.098, 0.902, 0.750)
Pr (0.902, 0.098, 0.250)
Ho (0.370, 0.630, 0.543)
Ho (0.370, 0.630, 0.957)
Ho (0.630, 0.370, 0.043)
Ho (0.630, 0.370, 0.457)
Ge (0.163, 0.837, 0.250)
Ge (0.837, 0.163, 0.750)
N (0.000, 0.000, 0.000)
N (0.000, 0.000, 0.500)
N (0.268, 0.732, 0.125)
N (0.268, 0.732, 0.375)
N (0.420, 0.580, 0.750)
N (0.580, 0.420, 0.250)
N (0.732, 0.268, 0.625)
N (0.732, 0.268, 0.875)

Computed properties:
Crystal system ... orthorhombic
Formation energy (no corrections) ... -1.0928 eV per atom

Record 8
Sc3GeP after structural relaxation, computed with GGA-PBE.

a = 4.829 Å, b = 4.829 Å, c = 4.829 Å
α = 90.00°, β = 90.00°, γ = 90.00°
Sites, in units of the cell vectors:
Sc (0.000, 0.000, 0.500)
Sc (0.000, 0.500, 0.000)
Sc (0.500, 0.000, 0.000)
Ge (0.500, 0.500, 0.500)
P (0.000, 0.000, 0.000)

Computed properties:
Crystal system ... cubic
Energy of formation from the pure elements ... -0.6206 eV/atom
Relative energy among the computed polymorphs ... 0.981 eV/f.u.